A plane-wave DFT calculation with GGA-PBE was carried out for crystalline Er2Cd3Hg3 at its relaxed geometry.

The calculation puts the density of states at the Fermi level at 0.366 states/eV per atom. The formation energy is -0.32 eV per atom.

The structure belongs to space group R3m (No. 160, hexagonal axes); the cell edges are 5.0616, 5.0616 and 24.8713 Å and the angles 90.00°, 90.00° and 120.00°. Symmetry generates all atoms from Er at (0.0000, 0.0000, 0.0000), Er at (0.0000, 0.0000, 0.4950), Cd at (0.0000, 0.0000, 0.2471), Cd at (0.0000, 0.0000, 0.7481), Cd at (0.0000, 0.0000, 0.8739), Hg at (0.0000, 0.0000, 0.1244), Hg at (0.0000, 0.0000, 0.3717) and Hg at (0.0000, 0.0000, 0.6201).

=====

A plane-wave DFT calculation with GGA-PBE was carried out for crystalline Er3CdHg5 at its relaxed geometry.

The calculation puts the density of states at the Fermi level at 0.580 states/eV per atom. The formation energy is -0.39 eV per atom.

The structure belongs to space group P6_3/mcm (No. 193); the cell edges are 8.9416, 8.9416 and 6.2293 Å and the angles 90.00°, 90.00° and 120.00°. Symmetry generates all atoms from Er at (0.0000, 0.3478, 0.2500), Cd at (0.0000, 0.0000, 0.0000), Hg at (0.0000, 0.3170, 0.7500) and Hg at (0.3333, 0.6667, 0.0000).